Below is an optimized crystal structure of Y2BePdN, with properties calculated at the PBE-GGA level.

Geometry as POSCAR:
```
Y2BePdN
1.0
4.9444 0.0000 0.0000
0.0000 4.9444 0.0000
0.0000 0.0000 3.4228
Y Pd Be N
2 1 1 1
direct
0.5000 0.0000 0.0000 Y
0.0000 0.5000 0.0000 Y
0.5000 0.5000 0.5000 Pd
0.0000 0.0000 0.5000 Be
0.0000 0.0000 0.0000 N
```

Output
Formation energy (no corrections)   -0.8844 eV/atom